# Mn6VO12

A geometry-optimized Mn6VO12 structure (PBE with a Hubbard U, the Alexandria database).

```
Mn6VO12
1.0
4.523 2.611 2.796
-4.523 2.611 2.796
0.000 -5.222 2.796
Mn V O
6 1 12
direct
0.106 0.633 0.813
0.187 0.894 0.367
0.367 0.187 0.894
0.633 0.813 0.106
0.813 0.106 0.633
0.894 0.367 0.187
0.500 0.500 0.500
0.095 0.324 0.904
0.096 0.905 0.676
0.195 0.544 0.389
0.324 0.904 0.095
0.389 0.195 0.544
0.456 0.611 0.805
0.544 0.389 0.195
0.611 0.805 0.456
0.676 0.096 0.905
0.805 0.456 0.611
0.904 0.095 0.324
0.905 0.676 0.096
```

Results
The calculation puts the total magnetic moment at 23.0 μB/f.u. The final energy is -7.407 eV/atom. The space group is R-3, No. 148. Its density is 4800 kg/m3.